Entry P
# Tc2GeAs

Tc2GeAs after structural relaxation (GGA-PBE, Alexandria).

Results
- Total magnetic moment: 0.0 μB per formula unit

a = 3.067 Å, b = 3.067 Å, c = 6.145 Å
α = 90.00°, β = 90.00°, γ = 90.00°
Positions (direct):
Tc 0.000 0.000 0.248
Tc 0.000 0.000 0.752
Ge 0.500 0.500 0.500
As 0.500 0.500 0.000


Entry Q
# Tc2GeAs

Tc2GeAs after structural relaxation (GGA-PBE, Alexandria).

Results
- Total magnetic moment: 0.0 μB per formula unit

a = 7.766 Å, b = 7.766 Å, c = 7.766 Å
α = 22.54°, β = 22.54°, γ = 22.54°
Positions (direct):
Tc 0.000 0.000 0.000
Tc 0.166 0.166 0.166
Ge 0.416 0.416 0.416
As 0.583 0.583 0.583


Entry R
# Tc2GeAs

Tc2GeAs after structural relaxation (GGA-PBE, Alexandria).

Results
- Total magnetic moment: 1.0 μB per formula unit

a = 6.827 Å, b = 6.827 Å, c = 6.827 Å
α = 131.95°, β = 131.95°, γ = 70.31°
Positions (direct):
Tc 0.119 0.625 0.994
Tc 0.375 0.369 0.494
Tc 0.631 0.125 0.006
Tc 0.875 0.881 0.506
Ge 0.250 0.750 0.500
Ge 0.500 0.500 0.000
As 0.000 0.000 0.000
As 0.750 0.250 0.500


Entry S
# Tc2GeAs

Tc2GeAs after structural relaxation (GGA-PBE, Alexandria).

Results
- Total magnetic moment: 0.0 μB per formula unit

a = 5.821 Å, b = 5.821 Å, c = 5.821 Å
α = 143.59°, β = 143.59°, γ = 52.44°
Positions (direct):
Tc 0.246 0.246 0.000
Tc 0.754 0.754 0.000
Ge 0.500 0.500 0.000
As 0.000 0.000 0.000


Short version: entry P is the most stable of them.


Entry P
# Tc2Ge2As

Tc2Ge2As after structural relaxation (GGA-PBE, Alexandria).

Results
- Total magnetic moment: 0.0 μB per formula unit

a = 6.527 Å, b = 3.086 Å, c = 8.346 Å
α = 90.00°, β = 100.39°, γ = 90.00°
Positions (direct):
Tc 0.125 0.250 0.131
Tc 0.303 0.250 0.504
Tc 0.697 0.750 0.496
Tc 0.875 0.750 0.869
Ge 0.264 0.750 0.941
Ge 0.485 0.750 0.726
Ge 0.515 0.250 0.274
Ge 0.736 0.250 0.059
As 0.021 0.750 0.350
As 0.979 0.250 0.650


Entry Q
# Tc2Ge2As

Tc2Ge2As after structural relaxation (GGA-PBE, Alexandria).

Results
- Total magnetic moment: 0.0 μB per formula unit

a = 7.080 Å, b = 7.080 Å, c = 3.151 Å
α = 90.00°, β = 90.00°, γ = 90.00°
Positions (direct):
Tc 0.157 0.343 0.000
Tc 0.343 0.843 0.000
Tc 0.657 0.157 0.000
Tc 0.843 0.657 0.000
Ge 0.139 0.639 0.500
Ge 0.361 0.139 0.500
Ge 0.639 0.861 0.500
Ge 0.861 0.361 0.500
As 0.000 0.000 0.000
As 0.500 0.500 0.000


Short version: entry P is the most stable of them.


Entry P
# TcGe3As

TcGe3As after structural relaxation (GGA-PBE, Alexandria).

Results
- Total magnetic moment: 1.6 μB per formula unit

a = 4.832 Å, b = 4.832 Å, c = 4.832 Å
α = 90.00°, β = 90.00°, γ = 90.00°
Positions (direct):
Tc 0.000 0.000 0.000
Ge 0.000 0.000 0.500
Ge 0.000 0.500 0.000
Ge 0.500 0.000 0.000
As 0.500 0.500 0.500


Entry Q
# TcGe3As

TcGe3As after structural relaxation (GGA-PBE, Alexandria).

Results
- Total magnetic moment: 3.1 μB per formula unit

a = 4.897 Å, b = 4.897 Å, c = 4.897 Å
α = 90.00°, β = 90.00°, γ = 90.00°
Positions (direct):
Tc 0.000 0.000 0.000
Ge 0.000 0.500 0.500
Ge 0.500 0.000 0.500
Ge 0.500 0.500 0.000
As 0.500 0.500 0.500


Short version: entry P is the most stable of them.


Entry P
# Ti2GeAs

Ti2GeAs after structural relaxation (GGA-PBE, Alexandria).

Results
- Total magnetic moment: 0.0 μB per formula unit

a = 6.576 Å, b = 6.576 Å, c = 6.576 Å
α = 32.03°, β = 32.03°, γ = 32.03°
Positions (direct):
Ti 0.000 0.000 0.000
Ti 0.176 0.176 0.176
Ge 0.420 0.420 0.420
As 0.590 0.590 0.590


Entry Q
# Ti2GeAs

Ti2GeAs after structural relaxation (GGA-PBE, Alexandria).

Results
- Total magnetic moment: 0.0 μB per formula unit

a = 4.522 Å, b = 4.522 Å, c = 4.522 Å
α = 60.00°, β = 60.00°, γ = 60.00°
Positions (direct):
Ti 0.250 0.250 0.250
Ti 0.750 0.750 0.750
Ge 0.000 0.000 0.000
As 0.500 0.500 0.500


Short version: entry P is the most stable of them.